The following is a DFT calculation (PBE) of an optimized crystal structure of Be2GeBr.

Cell and atoms, written as POSCAR:
```
Be2GeBr
1.0
3.6957 -0.0001 -0.0016
-1.8432 5.5676 0.0020
-0.8384 -1.5474 8.1982
Be Br Ge
4 2 2
Direct
0.7580 0.1790 0.6133
0.5654 0.7927 0.6144
0.1613 0.8042 0.0026
0.1893 0.0151 0.6714
0.3294 0.1696 0.9438
0.6775 0.7697 0.1525
0.3319 0.3691 0.5205
0.9984 0.6072 0.7289
```

Magnetization, μB per formula unit: 0.00
N(E_F), states/eV per cell: 0.9
Symmetry: P1, No. 1
Crystal system: triclinic
E_form (uncorrected), kJ per mole of atoms: -1